Record 1
Compound: ZrTcGe
Source: OQMD
Functional: GGA-PBE
Structure: optimized geometry

The energy above the most stable polymorph in this dataset comes out at 0 meV per atom.

The structure belongs to space group P-62m (No. 189); the cell edges are 7.1041, 7.1041 and 3.4871 Å and the angles 90.00°, 90.00° and 120.00°. The distinct sites, in fractional coordinates, are Zr at (0.0000, 0.5963, 0.0000), Tc at (0.0000, 0.2559, 0.5000), Ge at (0.0000, 0.0000, 0.0000) and Ge at (0.3333, 0.6667, 0.5000).



Record 2
Compound: Lu2AlHg
Source: OQMD
Functional: GGA-PBE
Structure: optimized geometry

The total DFT energy (no corrections) comes out at -0.2375 Ry per atom.

The structure belongs to space group F-43m (No. 216); the cell edges are 7.241, 7.241 and 7.241 Å and the angles 90.00°, 90.00° and 90.00°. The distinct sites, in fractional coordinates, are Lu at (0.000, 0.000, 0.000), Lu at (0.250, 0.250, 0.250), Al at (0.000, 0.000, 0.500) and Hg at (0.250, 0.250, 0.750).



Record 3
Compound: GdErAs2Pt2
Source: OQMD
Functional: GGA-PBE
Structure: optimized geometry

The energy above the most stable polymorph in this dataset comes out at 0 meV per atom.

The structure belongs to space group P6_3/mmc (No. 194); the cell edges are 4.2952, 4.2952 and 15.2185 Å and the angles 90.00°, 90.00° and 120.00°. The distinct sites, in fractional coordinates, are Gd at (0.0000, 0.0000, 0.0000), Er at (0.0000, 0.0000, 0.2500), As at (0.3333, 0.6667, 0.1170) and Pt at (0.3333, 0.6667, 0.6406).



Record 4
Compound: GaTcSb2
Source: OQMD
Functional: GGA-PBE
Structure: optimized geometry

The total DFT energy (no corrections) comes out at -0.3586 Ry per atom.

The structure belongs to space group F-43m (No. 216); the cell edges are 6.849, 6.849 and 6.849 Å and the angles 90.00°, 90.00° and 90.00°. The distinct sites, in fractional coordinates, are Ga at (0.000, 0.000, 0.000), Tc at (0.250, 0.250, 0.750), Sb at (0.000, 0.000, 0.500) and Sb at (0.250, 0.250, 0.250).



no.,spin magnetization (μB per formula unit)
1,0.00
2,0.00
3,0.00
4,0.01